MgScRu after structural relaxation. Source: Alexandria, functional PBEsol.

Cell: 3.2402 3.2402 5.6150 Å, 106.77 106.77 90.00°
Positions (direct):
Ru (0.6729, 0.6729, 0.3459)
Sc (0.3041, 0.3041, 0.6083)
Mg (0.0229, 0.0229, 0.0459)

Calculated values
The total magnetization is 0.0 μB/f.u. Its crystal system is tetragonal. The calculation puts the calculated formation energy at -67.8 kJ/mol of formula units. The value obtained for the density of states at the Fermi level is 1.74 states/eV per cell.

LaZr5 after structural relaxation. Source: Alexandria, functional PBEsol.

Cell: 3.2216 3.2216 15.8526 Å, 90.00 90.00 120.00°
Positions (direct):
Zr (0.3333, 0.6667, 0.1825)
Zr (0.3333, 0.6667, 0.5000)
Zr (0.0000, 0.0000, 0.3399)
Zr (0.0000, 0.0000, 0.6601)
Zr (0.3333, 0.6667, 0.8175)
La (0.0000, 0.0000, 0.0000)

Calculated values
The total magnetization is 0.0 μB/f.u. Its crystal system is hexagonal. The calculation puts the calculated formation energy at 45.0 kJ/mol of formula units. The value obtained for the density of states at the Fermi level is 5.88 states/eV per cell.

NaGaBi3 after structural relaxation. Source: Alexandria, functional PBEsol.

Cell: 5.5037 5.5037 5.5037 Å, 90.00 90.00 90.00°
Positions (direct):
Bi (0.5000, 0.0000, 0.0000)
Bi (0.0000, 0.0000, 0.5000)
Bi (0.0000, 0.5000, 0.0000)
Na (0.5000, 0.5000, 0.5000)
Ga (0.0000, 0.0000, 0.0000)

Calculated values
The total magnetization is 0.0 μB/f.u. Its crystal system is cubic. The calculation puts the calculated formation energy at 130.5 kJ/mol of formula units. The value obtained for the density of states at the Fermi level is 2.89 states/eV per cell.

LaY2Sc after structural relaxation. Source: Alexandria, functional PBEsol.

Cell: 3.4826 5.9386 6.0496 Å, 99.76 106.73 90.00°
Positions (direct):
Y (0.7463, 0.7467, 0.4926)
Y (0.2537, 0.2533, 0.5074)
Sc (0.0000, 0.5000, 0.0000)
La (0.5000, 0.0000, 0.0000)

Calculated values
The total magnetization is 0.0 μB/f.u. Its crystal system is monoclinic. The calculation puts the calculated formation energy at 18.6 kJ/mol of formula units. The value obtained for the excess energy over the best structure of this formula in the dataset is 0.02 eV/f.u. The value obtained for the density of states at the Fermi level is 5.46 states/eV per cell.